1.
Pm2Dy3Sb2 | GGA-PBE | relaxed

Values from the calculation:
The raw formation energy is -0.65 eV per atom. As for the uncorrected energy: -5.160 eV/atom.

abc: 6.468 6.468 8.644
angles: 108.47 108.47 38.80
Fractional positions:
Pm  0.134  0.134  0.293
Pm  0.866  0.866  0.707
Dy  0.374  0.374  0.053
Dy  0.500  0.500  0.500
Dy  0.626  0.626  0.947
Sb  0.170  0.170  0.700
Sb  0.830  0.830  0.300

---

2.
CeGd2Sb | GGA-PBE | relaxed

Values from the calculation:
Its excess energy over the best structure of this formula in the dataset is 0 meV/atom. The raw formation energy is -0.50 eV per atom. As for the uncorrected energy: -10.059 eV/atom.

abc: 4.874 4.874 4.686
angles: 90.00 90.00 90.00
Fractional positions:
Ce  0.000  0.000  0.000
Gd  0.000  0.500  0.500
Gd  0.500  0.000  0.500
Sb  0.500  0.500  0.000

---

3.
ZrTa2CdIr | GGA-PBE | relaxed

Values from the calculation:
The value obtained for the energy relative to the elements is 2.12 eV per atom. As for the uncorrected energy: -6.283 eV/atom.

abc: 4.886 4.886 5.029
angles: 90.00 90.00 90.00
Fractional positions:
Zr  0.000  0.000  0.000
Ta  0.000  0.500  0.500
Ta  0.500  0.000  0.500
Cd  0.000  0.000  0.500
Ir  0.500  0.500  0.000

---

4.
KSb | GGA-PBE | relaxed

Values from the calculation:
Its excess energy over the best structure of this formula in the dataset is 61 meV/atom. The raw formation energy is -0.38 eV per atom. As for the uncorrected energy: -2.989 eV/atom.

abc: 7.118 7.118 7.118
angles: 145.27 131.71 60.84
Fractional positions:
K  0.363  0.113  0.250
K  0.637  0.887  0.750
Sb  0.081  0.331  0.750
Sb  0.919  0.669  0.250

---

5.
AcLaNdY2 | GGA-PBE | relaxed

Values from the calculation:
The value obtained for the energy relative to the elements is 0.04 eV per atom. As for the uncorrected energy: -5.310 eV/atom.

abc: 6.492 5.963 9.948
angles: 90.00 108.68 90.00
Fractional positions:
Ac  0.069  0.250  0.304
Ac  0.931  0.750  0.696
La  0.136  0.750  0.097
La  0.864  0.250  0.903
Nd  0.335  0.750  0.503
Nd  0.665  0.250  0.497
Y  0.279  0.250  0.707
Y  0.468  0.250  0.097
Y  0.532  0.750  0.903
Y  0.721  0.750  0.293

---

6.
Na12Zn3H5 | GGA-PBE | relaxed

Values from the calculation:
As for the uncorrected energy: -1.722 eV/atom.

abc: 13.474 13.474 13.474
angles: 109.47 109.47 109.47
Fractional positions:
Na  0.017  0.202  0.114
Na  0.017  0.315  0.903
Na  0.088  0.702  0.685
Na  0.088  0.886  0.403
Na  0.097  0.614  0.412
Na  0.097  0.983  0.685
Na  0.114  0.017  0.202
Na  0.114  0.597  0.912
Na  0.185  0.202  0.588
Na  0.185  0.483  0.597
Na  0.202  0.114  0.017
Na  0.202  0.588  0.185
Na  0.298  0.315  0.912
Na  0.298  0.483  0.386
Na  0.315  0.903  0.017
Na  0.315  0.912  0.298
Na  0.386  0.298  0.483
Na  0.386  0.588  0.903
Na  0.403  0.088  0.886
Na  0.403  0.815  0.517
Na  0.412  0.097  0.614
Na  0.412  0.815  0.798
Na  0.483  0.386  0.298
Na  0.483  0.597  0.185
Na  0.517  0.403  0.815
Na  0.517  0.614  0.702
Na  0.588  0.185  0.202
Na  0.588  0.903  0.386
Na  0.597  0.185  0.483
Na  0.597  0.912  0.114
Na  0.614  0.412  0.097
Na  0.614  0.702  0.517
Na  0.685  0.088  0.702
Na  0.685  0.097  0.983
Na  0.702  0.517  0.614
Na  0.702  0.685  0.088
Na  0.798  0.412  0.815
Na  0.798  0.886  0.983
Na  0.815  0.517  0.403
Na  0.815  0.798  0.412
Na  0.886  0.403  0.088
Na  0.886  0.983  0.798
Na  0.903  0.017  0.315
Na  0.903  0.386  0.588
Na  0.912  0.114  0.597
Na  0.912  0.298  0.315
Na  0.983  0.685  0.097
Na  0.983  0.798  0.886
Zn  0.125  0.250  0.375
Zn  0.125  0.375  0.750
Zn  0.250  0.375  0.125
Zn  0.250  0.875  0.625
Zn  0.375  0.125  0.250
Zn  0.375  0.750  0.125
Zn  0.625  0.250  0.875
Zn  0.625  0.875  0.750
Zn  0.750  0.125  0.375
Zn  0.750  0.625  0.875
Zn  0.875  0.625  0.250
Zn  0.875  0.750  0.625
H  0.000  0.000  0.000
H  0.000  0.000  0.500
H  0.000  0.500  0.000
H  0.000  0.500  0.500
H  0.125  0.750  0.875
H  0.125  0.875  0.250
H  0.250  0.125  0.875
H  0.250  0.625  0.375
H  0.375  0.250  0.625
H  0.375  0.625  0.750
H  0.500  0.000  0.000
H  0.500  0.000  0.500
H  0.500  0.500  0.000
H  0.500  0.500  0.500
H  0.625  0.375  0.250
H  0.625  0.750  0.375
H  0.750  0.375  0.625
H  0.750  0.875  0.125
H  0.875  0.125  0.750
H  0.875  0.250  0.125

---

Among the records above, which one has the lowest uncorrected energy? CeGd2Sb

---

Which formula does entry 4 have? KSb

---

What is the uncorrected energy in the fourth record? -2.989 eV/atom